5
Lattice="6.2416 0.0000 0.0000 0.0000 6.2416 0.0000 0.0000 0.0000 6.2416" Properties=species:S:1:pos:R:3 comment="KSr3As | Alexandria via LeMat-Bulk | GGA-PBE | relaxed" formation_energy_ev_per_atom=-0.453 mass_density_g_cm3=2.6 dos_at_fermi_per_ev_cell=5.5 magmom_total_mub_per_fu=0.19 space_group="Pm-3m (221)" total_energy_ev_per_atom=-2.612 relative_energy_mev_per_atom=0 pbc="T T T"
K 0.0000 0.0000 0.0000
Sr 0.0000 3.1208 3.1208
Sr 3.1208 0.0000 3.1208
Sr 3.1208 3.1208 0.0000
As 3.1208 3.1208 3.1208